1.
{
  "formula": "TcMo2Cl",
  "functional": "PBE-GGA",
  "state": "relaxed",
  "de_polymorph_mev_per_atom": 260,
  "cell": [[2.878, 0.000, 0.000], [0.000, 4.149, 0.000], [-1.424, 0.000, 5.243]],
  "species": ["Tc", "Mo", "Mo", "Cl"],
  "frac_coords": [[0.000, 0.000, 0.000], [0.431, 0.500, 0.763], [0.569, 0.500, 0.237], [0.500, 0.000, 0.500]]
}

2.
{
  "formula": "MgNbSN2",
  "functional": "PBE-GGA",
  "state": "relaxed",
  "de_polymorph_mev_per_atom": 0,
  "cell": [[3.983, 0.000, 0.000], [0.000, 3.983, 0.000], [0.000, 0.000, 5.199]],
  "species": ["Mg", "Nb", "S", "N", "N"],
  "frac_coords": [[0.000, 0.000, 0.000], [0.500, 0.500, 0.500], [0.500, 0.500, 0.000], [0.000, 0.500, 0.500], [0.500, 0.000, 0.500]]
}